1.
Entry from Alexandria: a PBEsol-optimized structure of Sr2AsH2 (meta-GGA SCAN).

a b c (Å): 3.8153 3.8153 7.3198
angles (deg): 105.11 105.11 90.00
Fractional positions:
H: 0.7500 0.2500 0.5000
H: 0.2500 0.7500 0.5000
As: 0.0000 0.0000 0.0000
Sr: 0.6431 0.6431 0.2861
Sr: 0.3569 0.3569 0.7139

Calculated values
D(E_F) = 0.23 states/eV/atom
theoretical density = 4.228 g/cm3
energy = -15.140 eV/atom
spin magnetization = 0.002 μB per formula unit


2.
Entry from Alexandria: a PBEsol-optimized structure of Tc2TeAsH (meta-GGA SCAN).

a b c (Å): 3.3174 4.7066 4.7066
angles (deg): 90.00 90.00 90.00
Fractional positions:
Tc: 0.0000 0.0000 0.5000
Tc: 0.0000 0.5000 0.0000
Te: 0.5000 0.5000 0.5000
H: 0.5000 0.0000 0.0000
As: 0.0000 0.0000 0.0000

Calculated values
D(E_F) = 0.37 states/eV/atom
theoretical density = 9.028 g/cm3
energy = -25.662 eV/atom
spin magnetization = 0.000 μB per formula unit


3.
Entry from Alexandria: a PBEsol-optimized structure of Ti3AsH (meta-GGA SCAN).

a b c (Å): 3.9626 3.9626 3.9626
angles (deg): 90.00 90.00 90.00
Fractional positions:
As: 0.5000 0.5000 0.5000
Ti: 0.0000 0.5000 0.0000
Ti: 0.0000 0.0000 0.5000
Ti: 0.5000 0.0000 0.0000
H: 0.0000 0.0000 0.0000

Calculated values
D(E_F) = 0.86 states/eV/atom
theoretical density = 5.859 g/cm3
energy = -14.951 eV/atom
relative energy among the computed polymorphs = 0 meV/atom
spin magnetization = 0.001 μB per formula unit


4.
Entry from Alexandria: a PBEsol-optimized structure of Ti2AsH (meta-GGA SCAN).

a b c (Å): 5.0619 5.0619 5.0619
angles (deg): 108.33 108.33 111.77
Fractional positions:
Ti: 0.6250 0.5329 0.4079
Ti: 0.1250 0.2171 0.5921
Ti: 0.4671 0.8750 0.0921
Ti: 0.7829 0.3750 0.9079
H: 0.7500 0.2500 0.5000
H: 0.5000 0.5000 0.0000
As: 0.2500 0.7500 0.5000
As: 0.0000 0.0000 0.0000

Calculated values
D(E_F) = 0.68 states/eV/atom
theoretical density = 5.717 g/cm3
energy = -14.574 eV/atom
spin magnetization = 0.000 μB per formula unit


5.
Entry from Alexandria: a PBEsol-optimized structure of AsH3W (meta-GGA SCAN).

a b c (Å): 3.5484 3.5484 3.5484
angles (deg): 90.00 90.00 90.00
Fractional positions:
As: 0.5000 0.5000 0.5000
H: 0.0000 0.0000 0.5000
H: 0.5000 0.0000 0.0000
H: 0.0000 0.5000 0.0000
W: 0.0000 0.0000 0.0000

Calculated values
D(E_F) = 0.25 states/eV/atom
theoretical density = 9.730 g/cm3
energy = -19.342 eV/atom
spin magnetization = 0.000 μB per formula unit


6.
Entry from Alexandria: a PBEsol-optimized structure of Zn3AsH (meta-GGA SCAN).

a b c (Å): 4.0607 4.0607 4.0607
angles (deg): 90.00 90.00 90.00
Fractional positions:
H: 0.0000 0.0000 0.0000
As: 0.5000 0.5000 0.5000
Zn: 0.0000 0.0000 0.5000
Zn: 0.5000 0.0000 0.0000
Zn: 0.0000 0.5000 0.0000

Calculated values
D(E_F) = 0.26 states/eV/atom
theoretical density = 6.749 g/cm3
energy = -12.489 eV/atom
spin magnetization = 0.000 μB per formula unit


7.
Entry from Alexandria: a PBEsol-optimized structure of ZnAs2H (meta-GGA SCAN).

a b c (Å): 4.4520 4.4520 7.2513
angles (deg): 107.88 107.88 90.00
Fractional positions:
As: 0.7692 0.3750 0.2500
As: 0.1250 0.2308 0.7500
As: 0.4808 0.8750 0.2500
As: 0.6250 0.5192 0.7500
H: 0.7500 0.2500 0.5000
H: 0.5000 0.5000 0.0000
Zn: 0.0000 0.0000 0.0000
Zn: 0.2500 0.7500 0.5000

Calculated values
D(E_F) = 0.28 states/eV/atom
theoretical density = 5.547 g/cm3
energy = -13.955 eV/atom
spin magnetization = 0.000 μB per formula unit


8.
Entry from Alexandria: a PBEsol-optimized structure of ZrAs3H (meta-GGA SCAN).

a b c (Å): 5.1219 5.1219 5.1219
angles (deg): 90.00 90.00 90.00
Fractional positions:
As: 0.0000 0.5000 0.0000
As: 0.5000 0.0000 0.0000
As: 0.0000 0.0000 0.5000
H: 0.5000 0.5000 0.5000
Zr: 0.0000 0.0000 0.0000

Calculated values
D(E_F) = 0.53 states/eV/atom
theoretical density = 3.918 g/cm3
energy = -18.262 eV/atom
spin magnetization = 0.903 μB per formula unit


9.
Entry from Alexandria: a PBEsol-optimized structure of Hf3As2 (meta-GGA SCAN).

a b c (Å): 3.6321 9.9896 10.3972
angles (deg): 90.00 90.00 90.00
Fractional positions:
As: 0.7500 0.6784 0.0320
As: 0.2500 0.1784 0.4680
As: 0.7500 0.8216 0.5320
As: 0.2500 0.9993 0.8048
As: 0.2500 0.5007 0.3048
As: 0.7500 0.4993 0.6952
As: 0.2500 0.3216 0.9680
As: 0.7500 0.0007 0.1952
Hf: 0.2500 0.8758 0.0445
Hf: 0.2500 0.2939 0.7126
Hf: 0.7500 0.0682 0.6251
Hf: 0.7500 0.7061 0.2874
Hf: 0.7500 0.1242 0.9555
Hf: 0.2500 0.5682 0.8749
Hf: 0.7500 0.3758 0.4555
Hf: 0.7500 0.7939 0.7874
Hf: 0.2500 0.9318 0.3749
Hf: 0.2500 0.2061 0.2126
Hf: 0.7500 0.4318 0.1251
Hf: 0.2500 0.6242 0.5445

Calculated values
E_form = -0.98 eV/atom
D(E_F) = 0.43 states/eV/atom
theoretical density = 12.067 g/cm3
energy = -46.661 eV/atom
spin magnetization = 0.000 μB per formula unit


10.
Entry from Alexandria: a PBEsol-optimized structure of Hf2HgAs (meta-GGA SCAN).

a b c (Å): 4.7630 4.7630 4.7630
angles (deg): 60.00 60.00 60.00
Fractional positions:
As: 0.0000 0.0000 0.0000
Hf: 0.2500 0.2500 0.2500
Hf: 0.7500 0.7500 0.7500
Hg: 0.5000 0.5000 0.5000

Calculated values
E_form = -0.29 eV/atom
D(E_F) = 0.83 states/eV/atom
theoretical density = 13.746 g/cm3
energy = -53.717 eV/atom
spin magnetization = 0.000 μB per formula unit


11.
Entry from Alexandria: a PBEsol-optimized structure of HfHg2AsW (meta-GGA SCAN).

a b c (Å): 4.6411 5.1649 5.1649
angles (deg): 90.00 90.00 90.00
Fractional positions:
W: 0.0000 0.0000 0.0000
Hg: 0.0000 0.5000 0.0000
Hg: 0.0000 0.0000 0.5000
As: 0.5000 0.0000 0.0000
Hf: 0.5000 0.5000 0.5000

Calculated values
E_form = 1.10 eV/atom
D(E_F) = 0.78 states/eV/atom
theoretical density = 11.245 g/cm3
energy = -56.680 eV/atom
spin magnetization = 1.433 μB per formula unit


12.
Entry from Alexandria: a PBEsol-optimized structure of HfAsSe2I (meta-GGA SCAN).

a b c (Å): 5.1426 5.1426 5.2550
angles (deg): 90.00 90.00 90.00
Fractional positions:
Hf: 0.5000 0.5000 0.5000
As: 0.0000 0.0000 0.5000
Se: 0.5000 0.0000 0.0000
Se: 0.0000 0.5000 0.0000
I: 0.0000 0.0000 0.0000

Calculated values
D(E_F) = 0.70 states/eV/atom
theoretical density = 6.431 g/cm3
energy = -30.772 eV/atom
ΔE_f (raw) = 1.1807 eV per atom
spin magnetization = 0.703 μB per formula unit